(one)
# PBE-GGA Cu2Ni2Pd7, optimized geometry
# Space-group type = No. 12
data_Cu2Ni2Pd7
_chemical_formula_sum 'Cu2 Ni2 Pd7'
_cell_length_a 4.969
_cell_length_b 4.969
_cell_length_c 6.566
_cell_angle_alpha 98.34
_cell_angle_beta 98.34
_cell_angle_gamma 96.28
_symmetry_space_group_name_H-M 'P 1'
_symmetry_Int_Tables_number 1
_symmetry_space_group_name_Hall 'P 1'
loop_
_atom_site_label
_atom_site_type_symbol
_atom_site_fract_x
_atom_site_fract_y
_atom_site_fract_z
_atom_site_occupancy
Cu1 Cu 0.181 0.819 0.000 1
Cu2 Cu 0.819 0.181 0.000 1
Ni1 Ni 0.101 0.101 0.352 1
Ni2 Ni 0.899 0.899 0.648 1
Pd1 Pd 0.032 0.413 0.694 1
Pd2 Pd 0.340 0.340 0.084 1
Pd3 Pd 0.413 0.032 0.694 1
Pd4 Pd 0.500 0.500 0.500 1
Pd5 Pd 0.587 0.968 0.306 1
Pd6 Pd 0.660 0.660 0.916 1
Pd7 Pd 0.968 0.587 0.306 1

(two)
# PBE-GGA Cu2Ni2Pd7, optimized geometry
# Space-group type = No. 44
data_Cu2Ni2Pd7
_chemical_formula_sum 'Cu2 Ni2 Pd7'
_cell_length_a 6.866
_cell_length_b 6.866
_cell_length_c 6.866
_cell_angle_alpha 144.81
_cell_angle_beta 71.46
_cell_angle_gamma 120.04
_symmetry_space_group_name_H-M 'P 1'
_symmetry_Int_Tables_number 1
_symmetry_space_group_name_Hall 'P 1'
loop_
_atom_site_label
_atom_site_type_symbol
_atom_site_fract_x
_atom_site_fract_y
_atom_site_fract_z
_atom_site_occupancy
Cu1 Cu 0.205 0.000 0.205 1
Cu2 Cu 0.795 0.000 0.795 1
Ni1 Ni 0.492 0.992 0.500 1
Ni2 Ni 0.799 0.799 0.000 1
Pd1 Pd 0.058 0.712 0.346 1
Pd2 Pd 0.169 0.169 0.000 1
Pd3 Pd 0.361 0.500 0.861 1
Pd4 Pd 0.367 0.712 0.654 1
Pd5 Pd 0.638 0.500 0.139 1
Pd6 Pd 0.652 0.293 0.359 1
Pd7 Pd 0.934 0.293 0.641 1

Verdict on stability: (two) comes out at the bottom.

(one)
# PBE-GGA Cu5NiPd6, optimized geometry
# Space-group type = No. 12
data_Cu5NiPd6
_chemical_formula_sum 'Cu5 Ni1 Pd6'
_cell_length_a 4.726
_cell_length_b 4.726
_cell_length_c 8.709
_cell_angle_alpha 95.19
_cell_angle_beta 95.19
_cell_angle_gamma 120.07
_symmetry_space_group_name_H-M 'P 1'
_symmetry_Int_Tables_number 1
_symmetry_space_group_name_Hall 'P 1'
loop_
_atom_site_label
_atom_site_type_symbol
_atom_site_fract_x
_atom_site_fract_y
_atom_site_fract_z
_atom_site_occupancy
Cu1 Cu 0.000 0.000 0.000 1
Cu2 Cu 0.167 0.833 0.500 1
Cu3 Cu 0.333 0.667 0.000 1
Cu4 Cu 0.667 0.333 0.000 1
Cu5 Cu 0.833 0.167 0.500 1
Ni1 Ni 0.500 0.500 0.500 1
Pd1 Pd 0.085 0.417 0.251 1
Pd2 Pd 0.251 0.251 0.749 1
Pd3 Pd 0.417 0.085 0.251 1
Pd4 Pd 0.583 0.915 0.749 1
Pd5 Pd 0.749 0.749 0.251 1
Pd6 Pd 0.915 0.583 0.749 1

(two)
# PBE-GGA Cu5NiPd6, optimized geometry
# Space-group type = No. 10
data_Cu5NiPd6
_chemical_formula_sum 'Cu5 Ni1 Pd6'
_cell_length_a 4.280
_cell_length_b 5.975
_cell_length_c 6.761
_cell_angle_alpha 90.00
_cell_angle_beta 108.21
_cell_angle_gamma 90.00
_symmetry_space_group_name_H-M 'P 1'
_symmetry_Int_Tables_number 1
_symmetry_space_group_name_Hall 'P 1'
loop_
_atom_site_label
_atom_site_type_symbol
_atom_site_fract_x
_atom_site_fract_y
_atom_site_fract_z
_atom_site_occupancy
Cu1 Cu 0.000 0.000 0.000 1
Cu2 Cu 0.333 0.000 0.664 1
Cu3 Cu 0.333 0.500 0.665 1
Cu4 Cu 0.667 0.000 0.336 1
Cu5 Cu 0.667 0.500 0.335 1
Ni1 Ni 0.000 0.500 0.000 1
Pd1 Pd 0.165 0.251 0.331 1
Pd2 Pd 0.165 0.749 0.331 1
Pd3 Pd 0.500 0.252 0.000 1
Pd4 Pd 0.500 0.748 0.000 1
Pd5 Pd 0.835 0.251 0.669 1
Pd6 Pd 0.835 0.749 0.669 1

Verdict on stability: (one) comes out at the bottom.

(one)
# PBE-GGA Cu2NiPd4, optimized geometry
# Space-group type = No. 122
data_Cu2NiPd4
_chemical_formula_sum 'Cu4 Ni2 Pd8'
_cell_length_a 6.449
_cell_length_b 6.449
_cell_length_c 6.449
_cell_angle_alpha 109.42
_cell_angle_beta 109.42
_cell_angle_gamma 109.57
_symmetry_space_group_name_H-M 'P 1'
_symmetry_Int_Tables_number 1
_symmetry_space_group_name_Hall 'P 1'
loop_
_atom_site_label
_atom_site_type_symbol
_atom_site_fract_x
_atom_site_fract_y
_atom_site_fract_z
_atom_site_occupancy
Cu1 Cu 0.375 0.001 0.126 1
Cu2 Cu 0.751 0.625 0.626 1
Cu3 Cu 0.875 0.249 0.874 1
Cu4 Cu 0.999 0.125 0.374 1
Ni1 Ni 0.250 0.750 0.500 1
Ni2 Ni 0.500 0.500 0.000 1
Pd1 Pd 0.128 0.037 0.750 1
Pd2 Pd 0.128 0.536 0.750 1
Pd3 Pd 0.286 0.378 0.250 1
Pd4 Pd 0.464 0.213 0.591 1
Pd5 Pd 0.622 0.872 0.409 1
Pd6 Pd 0.622 0.872 0.909 1
Pd7 Pd 0.787 0.378 0.250 1
Pd8 Pd 0.963 0.714 0.091 1

(two)
# PBE-GGA Cu2NiPd4, optimized geometry
# Space-group type = No. 65
data_Cu2NiPd4
_chemical_formula_sum 'Cu2 Ni1 Pd4'
_cell_length_a 8.759
_cell_length_b 8.759
_cell_length_c 2.689
_cell_angle_alpha 90.00
_cell_angle_beta 90.00
_cell_angle_gamma 150.21
_symmetry_space_group_name_H-M 'P 1'
_symmetry_Int_Tables_number 1
_symmetry_space_group_name_Hall 'P 1'
loop_
_atom_site_label
_atom_site_type_symbol
_atom_site_fract_x
_atom_site_fract_y
_atom_site_fract_z
_atom_site_occupancy
Cu1 Cu 0.215 0.785 0.000 1
Cu2 Cu 0.785 0.215 0.000 1
Ni1 Ni 0.500 0.500 0.500 1
Pd1 Pd 0.080 0.920 0.500 1
Pd2 Pd 0.366 0.634 0.000 1
Pd3 Pd 0.634 0.366 0.000 1
Pd4 Pd 0.920 0.080 0.500 1

Verdict on stability: (one) comes out at the bottom.

(one)
# PBE-GGA Cu4NiPd7, optimized geometry
# Space-group type = No. 12
data_Cu4NiPd7
_chemical_formula_sum 'Cu4 Ni1 Pd7'
_cell_length_a 6.121
_cell_length_b 6.121
_cell_length_c 8.953
_cell_angle_alpha 122.88
_cell_angle_beta 122.88
_cell_angle_gamma 43.37
_symmetry_space_group_name_H-M 'P 1'
_symmetry_Int_Tables_number 1
_symmetry_space_group_name_Hall 'P 1'
loop_
_atom_site_label
_atom_site_type_symbol
_atom_site_fract_x
_atom_site_fract_y
_atom_site_fract_z
_atom_site_occupancy
Cu1 Cu 0.064 0.064 0.277 1
Cu2 Cu 0.205 0.205 0.837 1
Cu3 Cu 0.795 0.795 0.163 1
Cu4 Cu 0.936 0.936 0.723 1
Ni1 Ni 0.500 0.500 0.500 1
Pd1 Pd 0.000 0.000 0.500 1
Pd2 Pd 0.149 0.149 0.080 1
Pd3 Pd 0.284 0.284 0.618 1
Pd4 Pd 0.426 0.426 0.169 1
Pd5 Pd 0.574 0.574 0.831 1
Pd6 Pd 0.716 0.716 0.382 1
Pd7 Pd 0.851 0.851 0.920 1

(two)
# PBE-GGA Cu4NiPd7, optimized geometry
# Space-group type = No. 2
data_Cu4NiPd7
_chemical_formula_sum 'Cu4 Ni1 Pd7'
_cell_length_a 4.718
_cell_length_b 5.388
_cell_length_c 7.166
_cell_angle_alpha 77.60
_cell_angle_beta 71.69
_cell_angle_gamma 89.14
_symmetry_space_group_name_H-M 'P 1'
_symmetry_Int_Tables_number 1
_symmetry_space_group_name_Hall 'P 1'
loop_
_atom_site_label
_atom_site_type_symbol
_atom_site_fract_x
_atom_site_fract_y
_atom_site_fract_z
_atom_site_occupancy
Cu1 Cu 0.165 0.167 0.335 1
Cu2 Cu 0.333 0.584 0.665 1
Cu3 Cu 0.667 0.416 0.335 1
Cu4 Cu 0.835 0.833 0.665 1
Ni1 Ni 0.500 0.000 0.000 1
Pd1 Pd 0.007 0.248 0.003 1
Pd2 Pd 0.172 0.667 0.335 1
Pd3 Pd 0.336 0.081 0.664 1
Pd4 Pd 0.500 0.500 0.000 1
Pd5 Pd 0.664 0.919 0.336 1
Pd6 Pd 0.828 0.333 0.665 1
Pd7 Pd 0.993 0.752 0.997 1

Verdict on stability: (one) comes out at the bottom.